1.
Compound: K2VB2
Source: the Alexandria database
Functional: PBE-GGA
Structure: relaxed

Output
space group: P4/mbm, No. 127
formation energy: 2.0606 eV/atom

Cell lengths 8.579, 8.579, 2.834 Å; angles 90.00, 90.00, 90.00 degrees
Positions (direct):
K (0.134, 0.366, 0.000)
K (0.366, 0.866, 0.000)
K (0.634, 0.134, 0.000)
K (0.866, 0.634, 0.000)
V (0.000, 0.000, 0.000)
V (0.500, 0.500, 0.000)
B (0.167, 0.667, 0.500)
B (0.333, 0.167, 0.500)
B (0.667, 0.833, 0.500)
B (0.833, 0.333, 0.500)



2.
Compound: K2VB
Source: the Alexandria database
Functional: PBE-GGA
Structure: relaxed

Output
space group: I-42d, No. 122
formation energy: 1.0375 eV/atom

Cell lengths 8.785, 8.785, 8.785 Å; angles 93.33, 93.33, 152.12 degrees
Positions (direct):
K (0.375, 0.066, 0.191)
K (0.816, 0.625, 0.691)
K (0.875, 0.184, 0.809)
K (0.934, 0.125, 0.309)
V (0.250, 0.750, 0.500)
V (0.500, 0.500, 0.000)
B (0.000, 0.000, 0.000)
B (0.750, 0.250, 0.500)